! AcUCu, relaxed, DFT PBE-GGA; values from VASP
! Energy of formation from the pure elements ... 73.4 kJ per mole of atoms
! SG ... F-43m, No. 216
! Spin magnetization ... 3.5 μB/cell
! Electronic total energy ... -5.6120 eV per atom
! Relative energy among the computed polymorphs ... 0.000 eV per atom
&SYSTEM
  ibrav = 0, nat = 3, ntyp = 3
/
ATOMIC_SPECIES
Ac 227.00 Ac.upf
U 238.03 U.upf
Cu 63.55 Cu.upf
CELL_PARAMETERS angstrom
0.000 3.504 3.504
3.504 0.000 3.504
3.504 3.504 0.000
ATOMIC_POSITIONS crystal
Ac 0.000 0.000 0.000
U 0.500 0.500 0.500
Cu 0.250 0.250 0.250